i.
# PBE-GGA Y2NiSb, relaxed
data_Y2NiSb
_chemical_formula_sum 'Y8 Ni4 Sb4'
_space_group_name_H-M_alt 'F m -3 m'
_space_group_IT_number 225
_space_group_name_Hall '-F 4 2 3'
_cell_length_a 7.210
_cell_length_b 7.210
_cell_length_c 7.210
_cell_angle_alpha 90.00
_cell_angle_beta 90.00
_cell_angle_gamma 90.00
loop_
_atom_site_label
_atom_site_type_symbol
_atom_site_fract_x
_atom_site_fract_y
_atom_site_fract_z
Y1 Y 0.250 0.250 0.250
Ni1 Ni 0.000 0.000 0.000
Sb1 Sb 0.000 0.000 0.500
# D(E_F): 7.2 states/eV/f.u.

ii.
# PBE-GGA Y2NiSb, relaxed
data_Y2NiSb
_chemical_formula_sum 'Y4 Ni2 Sb2'
_space_group_name_H-M_alt 'C 1 2/m 1'
_space_group_IT_number 12
_cell_length_a 7.018
_cell_length_b 7.006
_cell_length_c 3.836
_cell_angle_alpha 90.00
_cell_angle_beta 90.15
_cell_angle_gamma 90.00
loop_
_space_group_symop_operation_xyz
'x,y,z'
'-x,-y,-z'
'-x,y,-z'
'x,-y,z'
'x+1/2,y+1/2,z'
'-x+1/2,-y+1/2,-z'
'-x+1/2,y+1/2,-z'
'x+1/2,-y+1/2,z'
loop_
_atom_site_label
_atom_site_type_symbol
_atom_site_fract_x
_atom_site_fract_y
_atom_site_fract_z
Y1 Y 0.250 0.250 0.000
Ni1 Ni 0.000 0.000 0.500
Sb1 Sb 0.000 0.500 0.500
# D(E_F): 3.5 states/eV/f.u.

iii.
# PBE-GGA Y2NiSb, relaxed
data_Y2NiSb
_chemical_formula_sum 'Y2 Ni1 Sb1'
_space_group_name_H-M_alt 'P 4 m m'
_space_group_IT_number 99
_cell_length_a 3.436
_cell_length_b 3.436
_cell_length_c 8.174
_cell_angle_alpha 90.00
_cell_angle_beta 90.00
_cell_angle_gamma 90.00
loop_
_space_group_symop_operation_xyz
'x,y,z'
'-y,x,z'
'-x,-y,z'
'y,-x,z'
'-x,y,z'
'y,x,z'
'x,-y,z'
'-y,-x,z'
loop_
_atom_site_label
_atom_site_type_symbol
_atom_site_fract_x
_atom_site_fract_y
_atom_site_fract_z
Y1 Y 0.000 0.000 0.000
Y2 Y 0.500 0.500 0.352
Ni1 Ni 0.000 0.000 0.564
Sb1 Sb 0.500 0.500 0.731
# D(E_F): 4.1 states/eV/f.u.

Short version: ii is the most stable of them.